(1)
DFT (PBE with a Hubbard U) results for crystalline NaV3Cr4O12 at its relaxed geometry.

a = 7.485 Å, b = 7.485 Å, c = 7.485 Å
α = 90.00°, β = 90.00°, γ = 90.00°
Space group Im-3 (No. 204)
Inequivalent atoms, fractional coordinates:
Na: 0.000 0.000 0.000 [2 per cell]
V: 0.000 0.000 0.500 [6 per cell]
Cr: 0.250 0.250 0.250 [8 per cell]
O: 0.000 0.186 0.317 [24 per cell]

Fermi-level density of states in states/eV per atom: 0.3051
Total magnetization in μB/f.u.: 16.00
VASP energy in eV per atom: -7.469
Density in g/cm3: 4.56



(2)
DFT (PBE with a Hubbard U) results for crystalline Na4VCr3O8 at its relaxed geometry.

a = 10.574 Å, b = 6.116 Å, c = 6.430 Å
α = 90.00°, β = 123.29°, γ = 90.00°
Space group C2/m (No. 12)
Inequivalent atoms, fractional coordinates:
Na: 0.000 0.000 0.000 [2 per cell]
Na: 0.000 0.500 0.000 [2 per cell]
Na: 0.250 0.250 0.000 [4 per cell]
V: 0.000 0.000 0.500 [2 per cell]
Cr: 0.000 0.500 0.500 [2 per cell]
Cr: 0.250 0.250 0.500 [4 per cell]
O: 0.018 0.252 0.301 [8 per cell]
O: 0.233 0.000 0.697 [4 per cell]
O: 0.233 0.500 0.697 [4 per cell]

Fermi-level density of states in states/eV per atom: 0.0000
Total magnetization in μB/f.u.: 11.00
VASP energy in eV per atom: -6.613
Density in g/cm3: 4.08



(3)
DFT (PBE with a Hubbard U) results for crystalline Na3V3Cr2O12 at its relaxed geometry.

a = 12.511 Å, b = 12.511 Å, c = 12.511 Å
α = 90.00°, β = 90.00°, γ = 90.00°
Space group Ia-3d (No. 230)
Inequivalent atoms, fractional coordinates:
Na: 0.000 0.250 0.125 [24 per cell]
V: 0.000 0.250 0.375 [24 per cell]
Cr: 0.000 0.000 0.000 [16 per cell]
O: 0.039 0.045 0.650 [96 per cell]

Fermi-level density of states in states/eV per atom: 0.0000
Total magnetization in μB/f.u.: 6.00
VASP energy in eV per atom: -7.017
Density in g/cm3: 3.51



(4)
DFT (PBE with a Hubbard U) results for crystalline Na2VCrO4 at its relaxed geometry.

a = 5.324 Å, b = 3.053 Å, c = 5.669 Å
α = 90.00°, β = 108.21°, γ = 90.00°
Space group P2/m (No. 10)
Inequivalent atoms, fractional coordinates:
Na: 0.000 0.000 0.000 [1 per cell]
Na: 0.500 0.500 0.000 [1 per cell]
V: 0.000 0.500 0.500 [1 per cell]
Cr: 0.500 0.000 0.500 [1 per cell]
O: 0.236 0.000 0.700 [2 per cell]
O: 0.270 0.500 0.302 [2 per cell]

Fermi-level density of states in states/eV per atom: 0.0000
Total magnetization in μB/f.u.: 5.00
VASP energy in eV per atom: -6.621
Density in g/cm3: 4.04



(5)
DFT (PBE with a Hubbard U) results for crystalline Na3Cr2WO6 at its relaxed geometry.

a = 5.401 Å, b = 9.358 Å, c = 5.695 Å
α = 90.00°, β = 108.43°, γ = 90.00°
Space group C2/m (No. 12)
Inequivalent atoms, fractional coordinates:
Na: 0.000 0.000 0.000 [2 per cell]
Na: 0.000 0.333 0.000 [4 per cell]
Cr: 0.000 0.167 0.500 [4 per cell]
W: 0.000 0.500 0.500 [2 per cell]
O: 0.217 0.000 0.702 [4 per cell]
O: 0.242 0.325 0.701 [8 per cell]

Fermi-level density of states in states/eV per atom: 0.0000
Total magnetization in μB/f.u.: 5.00
VASP energy in eV per atom: -6.449
Density in g/cm3: 5.51



(6)
DFT (PBE with a Hubbard U) results for crystalline Na2CrWO4 at its relaxed geometry.

a = 5.465 Å, b = 3.279 Å, c = 5.694 Å
α = 90.00°, β = 106.72°, γ = 90.00°
Space group P2/m (No. 10)
Inequivalent atoms, fractional coordinates:
Na: 0.000 0.000 0.000 [1 per cell]
Na: 0.500 0.500 0.000 [1 per cell]
Cr: 0.000 0.500 0.500 [1 per cell]
W: 0.500 0.000 0.500 [1 per cell]
O: 0.260 0.000 0.718 [2 per cell]
O: 0.272 0.500 0.303 [2 per cell]

Total magnetization in μB/f.u.: 6.00
VASP energy in eV per atom: -6.385
Density in g/cm3: 5.88



(7)
DFT (PBE with a Hubbard U) results for crystalline Na2Cr2WO6 at its relaxed geometry.

a = 5.417 Å, b = 9.137 Å, c = 5.847 Å
α = 90.00°, β = 109.56°, γ = 90.00°
Space group C2/m (No. 12)
Inequivalent atoms, fractional coordinates:
Na: 0.000 0.171 0.000 [4 per cell]
Cr: 0.000 0.335 0.500 [4 per cell]
W: 0.000 0.000 0.500 [2 per cell]
O: 0.228 0.500 0.692 [4 per cell]
O: 0.237 0.169 0.689 [8 per cell]

Fermi-level density of states in states/eV per atom: 0.0000
Total magnetization in μB/f.u.: 8.00
VASP energy in eV per atom: -6.880
Density in g/cm3: 5.23



(8)
DFT (PBE with a Hubbard U) results for crystalline NaCr2WO8 at its relaxed geometry.

a = 6.936 Å, b = 6.936 Å, c = 6.013 Å
α = 90.00°, β = 90.00°, γ = 90.00°
Space group I-4m2 (No. 119)
Inequivalent atoms, fractional coordinates:
Na: 0.000 0.000 0.000 [2 per cell]
Cr: 0.000 0.000 0.500 [2 per cell]
Cr: 0.000 0.500 0.250 [2 per cell]
W: 0.000 0.500 0.750 [2 per cell]
O: 0.000 0.206 0.664 [8 per cell]
O: 0.000 0.324 0.048 [8 per cell]

Total magnetization in μB/f.u.: 3.00
VASP energy in eV per atom: -6.683
Density in g/cm3: 5.04



(9)
DFT (PBE with a Hubbard U) results for crystalline NaCr2WO6 at its relaxed geometry.

a = 5.229 Å, b = 5.263 Å, c = 5.615 Å
α = 62.26°, β = 62.97°, γ = 60.58°
Space group P1 (No. 1)
Inequivalent atoms, fractional coordinates:
Na: 0.000 0.000 0.000 [1 per cell]
Cr: 0.209 0.212 0.361 [1 per cell]
Cr: 0.716 0.722 0.845 [1 per cell]
W: 0.516 0.523 0.443 [1 per cell]
O: 0.109 0.809 0.617 [1 per cell]
O: 0.359 0.563 0.157 [1 per cell]
O: 0.440 0.116 0.630 [1 per cell]
O: 0.557 0.926 0.153 [1 per cell]
O: 0.795 0.453 0.625 [1 per cell]
O: 0.919 0.363 0.149 [1 per cell]

Total magnetization in μB/f.u.: 7.00
VASP energy in eV per atom: -7.232
Density in g/cm3: 5.93



(10)
DFT (PBE with a Hubbard U) results for crystalline Na3Y2CrO6 at its relaxed geometry.

a = 5.717 Å, b = 9.922 Å, c = 5.855 Å
α = 90.00°, β = 108.58°, γ = 90.00°
Space group C2/m (No. 12)
Inequivalent atoms, fractional coordinates:
Na: 0.000 0.000 0.000 [2 per cell]
Na: 0.000 0.345 0.000 [4 per cell]
Y: 0.000 0.167 0.500 [4 per cell]
Cr: 0.000 0.500 0.500 [2 per cell]
O: 0.223 0.345 0.708 [8 per cell]
O: 0.243 0.500 0.295 [4 per cell]

Fermi-level density of states in states/eV per atom: 0.0000
Total magnetization in μB/f.u.: 3.00
VASP energy in eV per atom: -6.958
Density in g/cm3: 4.17



(11)
DFT (PBE with a Hubbard U) results for crystalline Na3Y3CrO8 at its relaxed geometry.

a = 11.541 Å, b = 6.655 Å, c = 6.745 Å
α = 90.00°, β = 124.70°, γ = 90.00°
Space group C2/m (No. 12)
Inequivalent atoms, fractional coordinates:
Na: 0.000 0.000 0.000 [2 per cell]
Na: 0.250 0.250 0.000 [4 per cell]
Y: 0.000 0.500 0.500 [2 per cell]
Y: 0.250 0.250 0.500 [4 per cell]
Cr: 0.000 0.000 0.500 [2 per cell]
O: 0.009 0.220 0.306 [8 per cell]
O: 0.213 0.000 0.695 [4 per cell]
O: 0.237 0.500 0.712 [4 per cell]

Total magnetization in μB/f.u.: 1.98
VASP energy in eV per atom: -7.221
Density in g/cm3: 4.02



(12)
DFT (PBE with a Hubbard U) results for crystalline Na2Y2CrO6 at its relaxed geometry.

a = 5.728 Å, b = 9.777 Å, c = 5.871 Å
α = 90.00°, β = 105.11°, γ = 90.00°
Space group C2/m (No. 12)
Inequivalent atoms, fractional coordinates:
Na: 0.000 0.144 0.000 [4 per cell]
Y: 0.000 0.336 0.500 [4 per cell]
Cr: 0.000 0.000 0.500 [2 per cell]
O: 0.194 0.149 0.688 [8 per cell]
O: 0.243 0.000 0.304 [4 per cell]

Total magnetization in μB/f.u.: 1.94
VASP energy in eV per atom: -7.205
Density in g/cm3: 3.89



(13)
DFT (PBE with a Hubbard U) results for crystalline NaY2CrO5 at its relaxed geometry.

a = 6.516 Å, b = 6.516 Å, c = 5.707 Å
α = 90.00°, β = 90.00°, γ = 90.00°
Space group P4/mbm (No. 127)
Inequivalent atoms, fractional coordinates:
Na: 0.000 0.000 0.000 [2 per cell]
Y: 0.178 0.322 0.500 [4 per cell]
Cr: 0.000 0.500 0.000 [2 per cell]
O: 0.000 0.000 0.500 [2 per cell]
O: 0.138 0.638 0.246 [8 per cell]

Total magnetization in μB/f.u.: 3.00
VASP energy in eV per atom: -7.715
Density in g/cm3: 4.56



(14)
DFT (PBE with a Hubbard U) results for crystalline Na2ZnCrO4 at its relaxed geometry.

a = 5.368 Å, b = 3.032 Å, c = 5.667 Å
α = 90.00°, β = 109.42°, γ = 90.00°
Space group P2/m (No. 10)
Inequivalent atoms, fractional coordinates:
Na: 0.000 0.000 0.000 [1 per cell]
Na: 0.500 0.500 0.000 [1 per cell]
Zn: 0.000 0.500 0.500 [1 per cell]
Cr: 0.500 0.000 0.500 [1 per cell]
O: 0.253 0.000 0.691 [2 per cell]
O: 0.287 0.500 0.294 [2 per cell]

Fermi-level density of states in states/eV per atom: 0.1494
Total magnetization in μB/f.u.: 2.00
VASP energy in eV per atom: -5.469
Density in g/cm3: 4.34



(15)
DFT (PBE with a Hubbard U) results for crystalline Na4ZnCr3O8 at its relaxed geometry.

a = 10.521 Å, b = 6.134 Å, c = 6.411 Å
α = 90.00°, β = 123.27°, γ = 90.00°
Space group C2/m (No. 12)
Inequivalent atoms, fractional coordinates:
Na: 0.000 0.000 0.000 [2 per cell]
Na: 0.000 0.500 0.000 [2 per cell]
Na: 0.250 0.250 0.000 [4 per cell]
Zn: 0.000 0.000 0.500 [2 per cell]
Cr: 0.000 0.500 0.500 [2 per cell]
Cr: 0.250 0.250 0.500 [4 per cell]
O: 0.018 0.272 0.302 [8 per cell]
O: 0.233 0.500 0.701 [4 per cell]
O: 0.235 0.000 0.696 [4 per cell]

Fermi-level density of states in states/eV per atom: 0.0182
Total magnetization in μB/f.u.: 8.00
VASP energy in eV per atom: -6.041
Density in g/cm3: 4.24



(16)
DFT (PBE with a Hubbard U) results for crystalline Na3ZnCr2O6 at its relaxed geometry.

a = 5.292 Å, b = 9.172 Å, c = 5.651 Å
α = 90.00°, β = 108.41°, γ = 90.00°
Space group C2/m (No. 12)
Inequivalent atoms, fractional coordinates:
Na: 0.000 0.000 0.000 [2 per cell]
Na: 0.000 0.337 0.000 [4 per cell]
Zn: 0.000 0.500 0.500 [2 per cell]
Cr: 0.000 0.166 0.500 [4 per cell]
O: 0.216 0.000 0.703 [4 per cell]
O: 0.242 0.326 0.699 [8 per cell]

Fermi-level density of states in states/eV per atom: 0.7303
Total magnetization in μB/f.u.: 5.00
VASP energy in eV per atom: -5.842
Density in g/cm3: 4.27



(17)
DFT (PBE with a Hubbard U) results for crystalline NaZnCr2O8 at its relaxed geometry.

a = 5.0368 Å, b = 5.0368 Å, c = 22.7825 Å
α = 90.00°, β = 90.00°, γ = 120.00°
Space group R-3 (No. 148, hexagonal axes)
Inequivalent atoms, fractional coordinates:
Na: 0.0000 0.0000 0.0000 [3 per cell]
Zn: 0.0000 0.0000 0.5000 [3 per cell]
Cr: 0.0000 0.0000 0.2446 [6 per cell]
O: 0.0000 0.0000 0.3167 [6 per cell]
O: 0.0084 0.3618 0.8881 [18 per cell]

Fermi-level density of states in states/eV per atom: 0.7621
Total magnetization in μB/f.u.: 1.11
VASP energy in eV per atom: -5.912
Density in g/cm3: 3.19